1.
# Tb2GaHg2

A geometry-optimized Tb2GaHg2 structure (PBE, the Alexandria database).

abc: 6.006 6.006 11.114
angles: 113.90 113.90 42.98
Fractional coordinates of all 10 atoms:
Tb: 0.005 0.005 0.333
Tb: 0.185 0.185 0.107
Tb: 0.815 0.815 0.893
Tb: 0.995 0.995 0.667
Ga: 0.287 0.287 0.681
Ga: 0.713 0.713 0.319
Hg: 0.349 0.349 0.446
Hg: 0.459 0.459 0.113
Hg: 0.541 0.541 0.887
Hg: 0.651 0.651 0.554

Its excess energy over the best structure of this formula in the dataset is 0.0000 eV/atom. Its formation energy from the elements is -0.47 eV per atom. As for the density of states at the Fermi level: 6.82 states/eV per cell. Its spin magnetization is 0.0 μB/f.u. The calculated density is 10.6 Mg/m³.

2.
# Tb2GaHg4

A geometry-optimized Tb2GaHg4 structure (PBE, the Alexandria database).

abc: 7.904 7.904 7.904
angles: 38.24 38.24 38.24
Fractional coordinates of all 7 atoms:
Tb: 0.220 0.220 0.220
Tb: 0.780 0.780 0.780
Ga: 0.500 0.500 0.500
Hg: 0.074 0.074 0.074
Hg: 0.365 0.365 0.365
Hg: 0.635 0.635 0.635
Hg: 0.926 0.926 0.926

Its formation energy from the elements is -0.33 eV per atom. As for the density of states at the Fermi level: 3.52 states/eV per cell. Its spin magnetization is 0.0 μB/f.u. The calculated density is 11.6 Mg/m³.

3.
# Tb4GaHg

A geometry-optimized Tb4GaHg structure (PBE, the Alexandria database).

abc: 8.633 3.749 20.251
angles: 90.00 90.00 90.00
Fractional coordinates of all 24 atoms:
Tb: 0.028 0.250 0.215
Tb: 0.034 0.250 0.925
Tb: 0.126 0.250 0.433
Tb: 0.140 0.250 0.667
Tb: 0.360 0.750 0.167
Tb: 0.374 0.750 0.933
Tb: 0.466 0.750 0.425
Tb: 0.472 0.750 0.715
Tb: 0.528 0.250 0.285
Tb: 0.534 0.250 0.575
Tb: 0.626 0.250 0.067
Tb: 0.640 0.250 0.833
Tb: 0.860 0.750 0.333
Tb: 0.874 0.750 0.567
Tb: 0.966 0.750 0.075
Tb: 0.972 0.750 0.785
Ga: 0.225 0.750 0.312
Ga: 0.275 0.250 0.812
Ga: 0.725 0.750 0.188
Ga: 0.775 0.250 0.688
Hg: 0.243 0.750 0.550
Hg: 0.257 0.250 0.050
Hg: 0.743 0.750 0.950
Hg: 0.757 0.250 0.450

Its excess energy over the best structure of this formula in the dataset is 0.0000 eV/atom. Its formation energy from the elements is -0.33 eV per atom. As for the density of states at the Fermi level: 29.56 states/eV per cell. Its spin magnetization is 0.0 μB/f.u. The calculated density is 9.2 Mg/m³.

4.
# Tb4Ga2Hg

A geometry-optimized Tb4Ga2Hg structure (PBE, the Alexandria database).

abc: 9.525 9.525 9.525
angles: 30.40 30.40 30.40
Fractional coordinates of all 7 atoms:
Tb: 0.119 0.119 0.119
Tb: 0.296 0.296 0.296
Tb: 0.704 0.704 0.704
Tb: 0.881 0.881 0.881
Ga: 0.403 0.403 0.403
Ga: 0.597 0.597 0.597
Hg: 0.500 0.500 0.500

Its excess energy over the best structure of this formula in the dataset is 0.1334 eV/atom. Its formation energy from the elements is -0.28 eV per atom. As for the density of states at the Fermi level: 8.80 states/eV per cell. Its spin magnetization is 0.0 μB/f.u. The calculated density is 8.3 Mg/m³.

5.
# Tb6Ga2Hg

A geometry-optimized Tb6Ga2Hg structure (PBE, the Alexandria database).

abc: 8.647 8.647 8.647
angles: 111.70 111.45 105.34
Fractional coordinates of all 18 atoms:
Tb: 0.029 0.823 0.205
Tb: 0.246 0.546 0.300
Tb: 0.246 0.945 0.700
Tb: 0.275 0.320 0.595
Tb: 0.275 0.680 0.955
Tb: 0.382 0.177 0.205
Tb: 0.618 0.823 0.795
Tb: 0.725 0.320 0.045
Tb: 0.725 0.680 0.405
Tb: 0.754 0.055 0.300
Tb: 0.754 0.454 0.700
Tb: 0.971 0.177 0.795
Ga: 0.000 0.145 0.145
Ga: 0.000 0.855 0.855
Ga: 0.378 0.378 0.000
Ga: 0.622 0.622 0.000
Hg: 0.000 0.500 0.500
Hg: 0.500 0.000 0.500

Its excess energy over the best structure of this formula in the dataset is 0.0000 eV/atom. Its formation energy from the elements is -0.40 eV per atom. As for the density of states at the Fermi level: 13.25 states/eV per cell. Its spin magnetization is 0.0 μB/f.u. The calculated density is 8.7 Mg/m³.

6.
# Tb4Ga3Hg

A geometry-optimized Tb4Ga3Hg structure (PBE, the Alexandria database).

abc: 5.132 5.132 7.275
angles: 90.00 90.00 90.00
Fractional coordinates of all 8 atoms:
Tb: 0.000 0.500 0.244
Tb: 0.000 0.500 0.756
Tb: 0.500 0.000 0.244
Tb: 0.500 0.000 0.756
Ga: 0.000 0.000 0.000
Ga: 0.000 0.000 0.500
Ga: 0.500 0.500 0.000
Hg: 0.500 0.500 0.500

Its excess energy over the best structure of this formula in the dataset is 0.0025 eV/atom. Its formation energy from the elements is -0.55 eV per atom. As for the density of states at the Fermi level: 4.81 states/eV per cell. Its spin magnetization is 0.0 μB/f.u. The calculated density is 9.1 Mg/m³.

7.
# Tb7Ga5Hg

A geometry-optimized Tb7Ga5Hg structure (PBE, the Alexandria database).

abc: 7.881 7.881 7.881
angles: 132.96 100.26 98.07
Fractional coordinates of all 13 atoms:
Tb: 0.000 0.000 0.000
Tb: 0.341 0.660 0.682
Tb: 0.374 0.374 0.000
Tb: 0.452 0.131 0.321
Tb: 0.810 0.131 0.679
Tb: 0.878 0.378 0.500
Tb: 0.978 0.660 0.318
Ga: 0.146 0.145 0.491
Ga: 0.146 0.655 0.001
Ga: 0.392 0.892 0.500
Ga: 0.654 0.145 0.999
Ga: 0.654 0.655 0.509
Hg: 0.686 0.686 0.000

Its formation energy from the elements is -0.38 eV per atom. As for the density of states at the Fermi level: 8.93 states/eV per cell. Its spin magnetization is 0.0 μB/f.u. The calculated density is 8.4 Mg/m³.

8.
# TbGaHg2

A geometry-optimized TbGaHg2 structure (PBE, the Alexandria database).

abc: 10.958 10.958 10.958
angles: 17.80 17.80 17.80
Fractional coordinates of all 4 atoms:
Tb: 0.000 0.000 0.000
Ga: 0.500 0.500 0.500
Hg: 0.095 0.095 0.095
Hg: 0.905 0.905 0.905

Its formation energy from the elements is 0.12 eV per atom. As for the density of states at the Fermi level: 2.57 states/eV per cell. Its spin magnetization is 0.0 μB/f.u. The calculated density is 9.7 Mg/m³.